First-principles (PBE) data for an optimized crystal structure of KSnCl2F, as listed in the Alexandria database.

* ΔE_f (raw): -1323.1 meV/atom
* raw total energy: -3.456 eV/atom
* relative energy among the computed polymorphs: 475 meV per atom

Cell: 5.941 5.941 4.218 Å, 90.00 90.00 90.00°
Space group P4/mmm (No. 123)
Symmetry-distinct sites (fractional):
K  0.000  0.000  0.000 x1
Sn  0.500  0.500  0.000 x1
Cl  0.000  0.500  0.500 x2
F  0.500  0.500  0.500 x1